# Mg2Ti

A relaxed Mg2Ti crystal (PBE, the Alexandria database).

Cell: 11.655 2.915 7.478 Å, 90.00 104.84 90.00°
Space group Cm (No. 8)
Asymmetric unit:
Mg 0.000 0.000 0.000
Mg 0.062 0.000 0.626
Mg 0.163 0.500 0.326
Mg 0.329 0.000 0.664
Ti 0.242 0.500 0.982
Ti 0.382 0.000 0.267

Output
**Crystal system**: monoclinic
**Formation energy**: 0.137 eV/atom
**Uncorrected energy**: -3.558 eV/atom